NaV13O18 | Alexandria via LeMat-Bulk | PBE with a Hubbard U | optimized geometry; SG = No. 148; electronic total energy = -7.767 eV per atom; magnetization = 30.0 μB per formula unit
1.0
6.5707 3.7936 2.5096
-6.5707 3.7936 2.5096
0.0000 -7.5872 2.5096
Na V O
1 13 18
Direct
0.0000 0.0000 0.0000
0.0712 0.5672 0.8827
0.1173 0.9288 0.4328
0.2320 0.6569 0.5995
0.3431 0.4005 0.7680
0.4005 0.7680 0.3431
0.4328 0.1173 0.9288
0.5000 0.5000 0.5000
0.5672 0.8827 0.0712
0.5995 0.2320 0.6569
0.6569 0.5995 0.2320
0.7680 0.3431 0.4005
0.8827 0.0712 0.5672
0.9288 0.4328 0.1173
0.0521 0.3842 0.6005
0.1196 0.7348 0.1753
0.1753 0.1196 0.7348
0.2292 0.5084 0.3343
0.2652 0.8247 0.8804
0.3343 0.2292 0.5084
0.3842 0.6005 0.0521
0.3995 0.9479 0.6158
0.4916 0.6657 0.7708
0.5084 0.3343 0.2292
0.6005 0.0521 0.3842
0.6158 0.3995 0.9479
0.6657 0.7708 0.4916
0.7348 0.1753 0.1196
0.7708 0.4916 0.6657
0.8247 0.8804 0.2652
0.8804 0.2652 0.8247
0.9479 0.6158 0.3995